Entry 1:
LiTl2Te2Se6: optimized geometry, PBE.

Cell lengths 7.063, 7.063, 7.568 Å; angles 98.63, 98.63, 120.24 degrees
Sites, in units of the cell vectors:
1 Li 0.000 0.000 0.000
2 Tl 0.165 0.835 0.500
3 Tl 0.835 0.165 0.500
4 Te 0.332 0.668 0.000
5 Te 0.668 0.332 0.000
6 Se 0.073 0.404 0.220
7 Se 0.262 0.262 0.790
8 Se 0.404 0.073 0.220
9 Se 0.596 0.927 0.780
10 Se 0.738 0.738 0.210
11 Se 0.927 0.596 0.780

Properties
- E_form (uncorrected) (meV/atom) = -267
- total magnetic moment (μB/cell) = 0.00


Entry 2:
Ho12ScTl3: optimized geometry, PBE.

Cell lengths 4.826, 4.826, 19.601 Å; angles 90.00, 90.00, 90.00 degrees
Sites, in units of the cell vectors:
1 Ho 0.000 0.000 0.000
2 Ho 0.000 0.000 0.248
3 Ho 0.000 0.000 0.500
4 Ho 0.000 0.000 0.752
5 Ho 0.000 0.500 0.124
6 Ho 0.000 0.500 0.374
7 Ho 0.000 0.500 0.626
8 Ho 0.000 0.500 0.876
9 Ho 0.500 0.000 0.124
10 Ho 0.500 0.000 0.374
11 Ho 0.500 0.000 0.626
12 Ho 0.500 0.000 0.876
13 Sc 0.500 0.500 0.500
14 Tl 0.500 0.500 0.000
15 Tl 0.500 0.500 0.246
16 Tl 0.500 0.500 0.754

Properties
- formation energy from the elements (eV per atom) = -0.12
- total magnetic moment (μB/cell) = 0.01


Entry 3:
TbPm2PrNd4: optimized geometry, PBE.

Cell lengths 6.333, 3.671, 12.163 Å; angles 90.00, 100.27, 90.00 degrees
Sites, in units of the cell vectors:
1 Tb 0.000 0.000 0.000
2 Pm 0.500 0.000 0.500
3 Pm 0.500 0.500 0.000
4 Pr 0.000 0.500 0.500
5 Nd 0.249 0.500 0.248
6 Nd 0.251 0.000 0.752
7 Nd 0.749 0.000 0.248
8 Nd 0.751 0.500 0.752

Properties
- formation energy from the elements (eV per atom) = 0.02
- total magnetic moment (μB/cell) = 0.00


Entry 4:
RbTlCdSb2: optimized geometry, PBE.

Cell lengths 7.493, 7.493, 7.493 Å; angles 139.71, 139.71, 58.30 degrees
Sites, in units of the cell vectors:
1 Rb 0.000 0.000 0.000
2 Tl 0.750 0.250 0.500
3 Cd 0.250 0.750 0.500
4 Sb 0.378 0.378 0.000
5 Sb 0.622 0.622 0.000

Properties
- E_form (uncorrected) (meV/atom) = -184
- total magnetic moment (μB/cell) = 0.00


Record order is preserved below.
Final energy: -0.246 -0.323 -0.348 -0.197 Ry per atom